No. 1
This record from Alexandria via LeMat-Bulk describes LiPrTm2 after structural relaxation. The functional is PBE.

```
4
Lattice="3.6482 0.0000 0.0000 0.0000 3.6482 0.0000 0.0000 0.0000 8.6699" Properties=species:S:1:pos:R:3 pbc="T T T"
Li 0.0000 0.0000 0.0000
Pr 0.0000 0.0000 4.3350
Tm 1.8241 1.8241 1.8451
Tm 1.8241 1.8241 6.8249
```

Calculated values
- total energy (eV per atom) = -3.823
- D(E_F) (states/eV/cell) = 5.66
- volume (Å³/f.u.) = 115.4
- distance to the lowest polymorph of the same formula (eV/atom) = 0.000

No. 2
This record from Alexandria via LeMat-Bulk describes LiPr2Tm after structural relaxation. The functional is PBE.

```
4
Lattice="1.7644 1.0187 12.4254 -1.7644 1.0187 12.4254 0.0000 -2.0373 12.4254" Properties=species:S:1:pos:R:3 pbc="T T T"
Li 0.0000 0.0000 0.0000
Pr 0.0000 0.0000 3.3338
Pr 0.0000 0.0000 33.9425
Tm 0.0000 0.0000 18.6382
```

Calculated values
- total energy (eV per atom) = -3.830
- D(E_F) (states/eV/cell) = 5.33
- volume (Å³/f.u.) = 134.0
- distance to the lowest polymorph of the same formula (eV/atom) = 0.092

No. 3
This record from Alexandria via LeMat-Bulk describes LiPr2Tm after structural relaxation. The functional is PBE.

```
4
Lattice="1.7871 1.0318 11.4781 -1.7871 1.0318 11.4781 0.0000 -2.0635 11.4781" Properties=species:S:1:pos:R:3 pbc="T T T"
Li 0.0000 0.0000 0.0000
Pr 0.0000 0.0000 8.6185
Pr 0.0000 0.0000 14.3204
Tm 0.0000 0.0000 28.6837
```

Calculated values
- total energy (eV per atom) = -3.915
- D(E_F) (states/eV/cell) = 3.35
- volume (Å³/f.u.) = 127.0
- distance to the lowest polymorph of the same formula (eV/atom) = 0.007

No. 4
This record from Alexandria via LeMat-Bulk describes Li4PrTm after structural relaxation. The functional is PBE.

```
6
Lattice="0.0000 4.1626 4.1626 4.1626 0.0000 4.1626 4.1626 4.1626 0.0000" Properties=species:S:1:pos:R:3 pbc="T T T"
Li 3.1267 3.1267 3.1267
Li 5.1986 5.1986 3.1267
Li 5.1986 3.1267 5.1986
Li 3.1267 5.1986 5.1986
Pr 0.0000 0.0000 0.0000
Tm 6.2440 6.2440 6.2440
```

Calculated values
- total energy (eV per atom) = -2.709
- D(E_F) (states/eV/cell) = 6.28
- volume (Å³/f.u.) = 144.3

No. 5
This record from Alexandria via LeMat-Bulk describes LiPr2Tm after structural relaxation. The functional is PBE.

```
4
Lattice="0.0000 3.9600 3.9600 3.9600 0.0000 3.9600 3.9600 3.9600 0.0000" Properties=species:S:1:pos:R:3 pbc="T T T"
Li 0.0000 0.0000 0.0000
Pr 1.9800 1.9800 1.9800
Pr 5.9399 5.9399 5.9399
Tm 3.9600 3.9600 3.9600
```

Calculated values
- total energy (eV per atom) = -3.846
- D(E_F) (states/eV/cell) = 4.85
- volume (Å³/f.u.) = 124.2
- distance to the lowest polymorph of the same formula (eV/atom) = 0.076

No. 6
This record from Alexandria via LeMat-Bulk describes LiPrTm2 after structural relaxation. The functional is PBE.

```
4
Lattice="5.6428 0.0000 0.0000 0.0000 5.6428 0.0000 0.0000 0.0000 3.7097" Properties=species:S:1:pos:R:3 pbc="T T T"
Li 0.0000 0.0000 0.0000
Pr 2.8214 2.8214 0.0000
Tm 0.0000 2.8214 1.8548
Tm 2.8214 0.0000 1.8548
```

Calculated values
- total energy (eV per atom) = -3.708
- D(E_F) (states/eV/cell) = 6.24
- volume (Å³/f.u.) = 118.1
- distance to the lowest polymorph of the same formula (eV/atom) = 0.115

No. 7
This record from Alexandria via LeMat-Bulk describes LiPrYTm after structural relaxation. The functional is PBE.

```
4
Lattice="0.0000 3.9149 3.9149 3.9149 0.0000 3.9149 3.9149 3.9149 0.0000" Properties=species:S:1:pos:R:3 pbc="T T T"
Li 0.0000 0.0000 0.0000
Pr 1.9574 1.9574 1.9574
Y 5.8723 5.8723 5.8723
Tm 3.9149 3.9149 3.9149
```

Calculated values
- total energy (eV per atom) = -4.253
- D(E_F) (states/eV/cell) = 4.08
- volume (Å³/f.u.) = 120.0

No. 8
This record from Alexandria via LeMat-Bulk describes LiPrTmZn after structural relaxation. The functional is PBE.

```
4
Lattice="0.0000 3.6609 3.6609 3.6609 0.0000 3.6609 3.6609 3.6609 0.0000" Properties=species:S:1:pos:R:3 pbc="T T T"
Li 0.0000 0.0000 0.0000
Pr 1.8304 1.8304 1.8304
Tm 5.4913 5.4913 5.4913
Zn 3.6609 3.6609 3.6609
```

Calculated values
- total energy (eV per atom) = -3.215
- D(E_F) (states/eV/cell) = 4.91
- volume (Å³/f.u.) = 98.1

No. 9
This record from Alexandria via LeMat-Bulk describes LiPrY after structural relaxation. The functional is PBE.

```
3
Lattice="-1.8796 1.8796 6.2353 1.8796 -1.8796 6.2353 1.8796 1.8796 -6.2353" Properties=species:S:1:pos:R:3 pbc="T T T"
Li 0.0000 0.0000 0.0000
Pr 0.0000 0.0000 8.2062
Y 0.0000 0.0000 4.4236
```

Calculated values
- total energy (eV per atom) = -4.315
- D(E_F) (states/eV/cell) = 3.79
- volume (Å³/f.u.) = 88.1
- distance to the lowest polymorph of the same formula (eV/atom) = 0.022

No. 10
This record from Alexandria via LeMat-Bulk describes Li4PrY after structural relaxation. The functional is PBE.

```
6
Lattice="0.0000 4.1923 4.1923 4.1923 0.0000 4.1923 4.1923 4.1923 0.0000" Properties=species:S:1:pos:R:3 pbc="T T T"
Li 1.0522 1.0522 1.0522
Li 3.1400 3.1400 1.0522
Li 3.1400 1.0522 3.1400
Li 1.0522 3.1400 3.1400
Pr 6.2884 6.2884 6.2884
Y 4.1923 4.1923 4.1923
```

Calculated values
- total energy (eV per atom) = -3.048
- D(E_F) (states/eV/cell) = 6.19
- volume (Å³/f.u.) = 147.4

No. 11
This record from Alexandria via LeMat-Bulk describes LiPr2Y after structural relaxation. The functional is PBE.

```
4
Lattice="0.0000 3.9947 3.9947 3.9947 0.0000 3.9947 3.9947 3.9947 0.0000" Properties=species:S:1:pos:R:3 pbc="T T T"
Li 0.0000 0.0000 0.0000
Pr 1.9974 1.9974 1.9974
Pr 5.9921 5.9921 5.9921
Y 3.9947 3.9947 3.9947
```

Calculated values
- total energy (eV per atom) = -4.317
- D(E_F) (states/eV/cell) = 5.19
- volume (Å³/f.u.) = 127.5
- distance to the lowest polymorph of the same formula (eV/atom) = 0.104

No. 12
This record from Alexandria via LeMat-Bulk describes LiPrY after structural relaxation. The functional is PBE.

```
6
Lattice="2.6122 -2.6176 0.0000 2.6122 2.6176 0.0000 -0.0113 0.0000 12.9633" Properties=species:S:1:pos:R:3 pbc="T T T"
Li 1.3021 0.0000 0.6532
Li 3.9110 0.0000 12.3102
Pr 1.3012 0.0000 5.1348
Pr 3.9119 0.0000 7.8285
Y 1.2991 0.0000 10.2750
Y 3.9140 0.0000 2.6884
```

Calculated values
- total energy (eV per atom) = -4.338
- D(E_F) (states/eV/cell) = 6.52
- volume (Å³/f.u.) = 88.6
- distance to the lowest polymorph of the same formula (eV/atom) = 0.000

No. 13
This record from Alexandria via LeMat-Bulk describes LiPrY2 after structural relaxation. The functional is PBE.

```
4
Lattice="3.6941 0.0000 0.0000 0.0000 3.6941 0.0000 0.0000 0.0000 8.8195" Properties=species:S:1:pos:R:3 pbc="T T T"
Li 0.0000 0.0000 0.0000
Pr 0.0000 0.0000 4.4097
Y 1.8470 1.8470 1.8843
Y 1.8470 1.8470 6.9352
```

Calculated values
- total energy (eV per atom) = -4.839
- D(E_F) (states/eV/cell) = 6.01
- volume (Å³/f.u.) = 120.4
- distance to the lowest polymorph of the same formula (eV/atom) = 0.000

No. 14
This record from Alexandria via LeMat-Bulk describes LiPrY after structural relaxation. The functional is PBE.

```
3
Lattice="3.5617 0.0000 0.0000 -1.7808 3.0845 0.0000 0.0000 0.0000 8.4310" Properties=species:S:1:pos:R:3 pbc="T T T"
Li 0.0000 0.0000 0.0000
Pr 0.0000 2.0563 5.6160
Y 1.7808 1.0282 2.7071
```

Calculated values
- total energy (eV per atom) = -4.281
- D(E_F) (states/eV/cell) = 3.51
- volume (Å³/f.u.) = 92.6
- distance to the lowest polymorph of the same formula (eV/atom) = 0.057

No. 15
This record from Alexandria via LeMat-Bulk describes LiPrY2 after structural relaxation. The functional is PBE.

```
4
Lattice="5.7319 0.0000 0.0000 0.0000 5.7319 0.0000 0.0000 0.0000 3.7338" Properties=species:S:1:pos:R:3 pbc="T T T"
Li 0.0000 0.0000 0.0000
Pr 2.8659 2.8659 0.0000
Y 0.0000 2.8659 1.8669
Y 2.8659 0.0000 1.8669
```

Calculated values
- total energy (eV per atom) = -4.732
- D(E_F) (states/eV/cell) = 6.58
- volume (Å³/f.u.) = 122.7
- distance to the lowest polymorph of the same formula (eV/atom) = 0.107

No. 16
This record from Alexandria via LeMat-Bulk describes LiPr2Y after structural relaxation. The functional is PBE.

```
4
Lattice="3.6855 0.0000 0.0000 0.0000 3.6855 0.0000 0.0000 0.0000 9.2832" Properties=species:S:1:pos:R:3 pbc="T T T"
Li 0.0000 0.0000 0.0000
Pr 1.8428 1.8428 2.1177
Pr 1.8428 1.8428 7.1656
Y 0.0000 0.0000 4.6416
```

Calculated values
- total energy (eV per atom) = -4.422
- D(E_F) (states/eV/cell) = 6.15
- volume (Å³/f.u.) = 126.1
- distance to the lowest polymorph of the same formula (eV/atom) = 0.000

No. 17
This record from Alexandria via LeMat-Bulk describes LiPr2Y after structural relaxation. The functional is PBE.

```
4
Lattice="3.5838 0.0000 0.0000 -1.7919 3.1037 0.0000 0.0000 0.0000 12.0034" Properties=species:S:1:pos:R:3 pbc="T T T"
Li 0.0000 0.0000 0.0000
Pr 0.0000 0.0000 8.7112
Pr 1.7919 1.0346 2.8532
Y 0.0000 2.0691 5.8068
```

Calculated values
- total energy (eV per atom) = -4.369
- D(E_F) (states/eV/cell) = 4.19
- volume (Å³/f.u.) = 133.5
- distance to the lowest polymorph of the same formula (eV/atom) = 0.053

No. 18
This record from Alexandria via LeMat-Bulk describes LiPrY2 after structural relaxation. The functional is PBE.

```
4
Lattice="1.7848 1.0304 11.3280 -1.7848 1.0304 11.3280 0.0000 -2.0609 11.3280" Properties=species:S:1:pos:R:3 pbc="T T T"
Li 0.0000 0.0000 0.0000
Pr 0.0000 0.0000 5.6587
Y 0.0000 0.0000 13.9942
Y 0.0000 0.0000 19.9797
```

Calculated values
- total energy (eV per atom) = -4.781
- D(E_F) (states/eV/cell) = 5.18
- volume (Å³/f.u.) = 125.0
- distance to the lowest polymorph of the same formula (eV/atom) = 0.059

No. 19
This record from Alexandria via LeMat-Bulk describes LiPr2Y after structural relaxation. The functional is PBE.

```
4
Lattice="1.7787 1.0269 12.5131 -1.7787 1.0269 12.5131 0.0000 -2.0538 12.5131" Properties=species:S:1:pos:R:3 pbc="T T T"
Li 0.0000 0.0000 0.0000
Pr 0.0000 0.0000 3.3343
Pr 0.0000 0.0000 34.2049
Y 0.0000 0.0000 18.7696
```

Calculated values
- total energy (eV per atom) = -4.324
- D(E_F) (states/eV/cell) = 5.34
- volume (Å³/f.u.) = 137.1
- distance to the lowest polymorph of the same formula (eV/atom) = 0.097

No. 20
This record from Alexandria via LeMat-Bulk describes LiPrY2 after structural relaxation. The functional is PBE.

```
4
Lattice="1.7200 0.9931 12.1242 -1.7200 0.9931 12.1242 0.0000 -1.9861 12.1242" Properties=species:S:1:pos:R:3 pbc="T T T"
Li 0.0000 0.0000 0.0000
Pr 0.0000 0.0000 18.1863
Y 0.0000 0.0000 14.7855
Y 0.0000 0.0000 21.5872
```

Calculated values
- total energy (eV per atom) = -4.624
- D(E_F) (states/eV/cell) = 7.12
- volume (Å³/f.u.) = 124.3
- distance to the lowest polymorph of the same formula (eV/atom) = 0.215